ReAs2Pb | PBE | relaxed

**VASP energy**: -24.00 eV per formula unit

a b c (Å): 3.265 3.265 7.819
angles (deg): 90.00 90.00 90.00
Space group P4mm (No. 99)
Inequivalent atoms, fractional coordinates:
1 Re 0.000 0.000 0.000 [1 per cell]
2 As 0.000 0.000 0.346 [1 per cell]
3 As 0.500 0.500 0.141 [1 per cell]
4 Pb 0.500 0.500 0.720 [1 per cell]